Material: MnTl4Si
Method: DFT, PBE
State: relaxed

For the total energy, the calculation gives -3.2327 eV per atom. Its uncorrected formation energy is 0.777 eV per atom. As for the density of states at the Fermi level: 0.6250 states/eV/atom.

It has space group F-43m (No. 216), with a = 8.828 Å, b = 8.828 Å, c = 8.828 Å, α = 90.00°, β = 90.00° and γ = 90.00°. The inequivalent atoms are Mn at (0.000, 0.000, 0.000), Tl at (0.125, 0.125, 0.375) and Si at (0.250, 0.250, 0.750).